Here is an optimized crystal structure of Pr7HgSe5 from the Alexandria database. Energies are from PBE-GGA.

Calculated total energy: -5.43 eV/atom
Formation energy from raw total energies: -1.495 eV/atom

Unit cell a=7.335 b=7.335 c=25.594 alpha=90.00 beta=90.00 gamma=146.45
Fractional positions:
Pr 0.028 0.972 0.750
Pr 0.137 0.863 0.037
Pr 0.137 0.863 0.463
Pr 0.314 0.686 0.676
Pr 0.314 0.686 0.824
Pr 0.413 0.587 0.108
Pr 0.413 0.587 0.392
Pr 0.587 0.413 0.608
Pr 0.587 0.413 0.892
Pr 0.686 0.314 0.176
Pr 0.686 0.314 0.324
Pr 0.863 0.137 0.537
Pr 0.863 0.137 0.963
Pr 0.972 0.028 0.250
Hg 0.301 0.699 0.250
Hg 0.699 0.301 0.750
Se 0.050 0.950 0.142
Se 0.050 0.950 0.358
Se 0.224 0.776 0.571
Se 0.224 0.776 0.929
Se 0.500 0.500 0.000
Se 0.500 0.500 0.500
Se 0.776 0.224 0.071
Se 0.776 0.224 0.429
Se 0.950 0.050 0.642
Se 0.950 0.050 0.858

***

Here is an optimized crystal structure of AcLa12Er5 from the Alexandria database. Energies are from PBE-GGA.

Calculated total energy: -4.76 eV/atom
Energy relative to the elements: 0.020 eV per atom

Unit cell a=6.398 b=6.398 c=18.146 alpha=93.34 beta=93.34 gamma=120.03
Fractional positions:
Ac 0.000 0.000 0.000
La 0.056 0.396 0.168
La 0.113 0.113 0.338
La 0.220 0.553 0.660
La 0.284 0.284 0.832
La 0.396 0.056 0.168
La 0.447 0.780 0.340
La 0.553 0.220 0.660
La 0.604 0.944 0.832
La 0.716 0.716 0.168
La 0.780 0.447 0.340
La 0.887 0.887 0.662
La 0.944 0.604 0.832
Er 0.166 0.834 0.500
Er 0.333 0.667 0.000
Er 0.500 0.500 0.500
Er 0.667 0.333 0.000
Er 0.834 0.166 0.500

***

Here is an optimized crystal structure of LiHg2BS from the Alexandria database. Energies are from PBE-GGA.

Calculated total energy: -1.82 eV/atom
Formation energy from raw total energies: 0.842 eV/atom

Unit cell a=5.298 b=5.298 c=4.364 alpha=90.00 beta=90.00 gamma=90.00
Fractional positions:
Li 0.000 0.000 0.000
Hg 0.000 0.500 0.500
Hg 0.500 0.000 0.500
B 0.500 0.500 0.000
S 0.000 0.000 0.500

***

Here is an optimized crystal structure of Ce3TmPa2N6 from the Alexandria database. Energies are from PBE-GGA.

Calculated total energy: -9.23 eV/atom
Formation energy from raw total energies: -1.630 eV/atom

Unit cell a=6.076 b=6.076 c=6.137 alpha=99.51 beta=99.51 gamma=119.99
Fractional positions:
Ce 0.000 0.000 0.000
Ce 0.334 0.666 0.000
Ce 0.666 0.334 0.000
Tm 0.500 0.500 0.500
Pa 0.167 0.833 0.500
Pa 0.833 0.167 0.500
N 0.087 0.425 0.275
N 0.238 0.238 0.726
N 0.425 0.087 0.275
N 0.575 0.913 0.725
N 0.762 0.762 0.274
N 0.913 0.575 0.725

***

Here is an optimized crystal structure of PaBi2Mo from the Alexandria database. Energies are from PBE-GGA.

Calculated total energy: -6.32 eV/atom
Energy relative to the elements: 0.701 eV per atom

Unit cell a=3.240 b=3.240 c=33.689 alpha=90.00 beta=90.00 gamma=120.00
Fractional positions:
Pa 0.000 0.000 0.000
Pa 0.333 0.667 0.667
Pa 0.667 0.333 0.333
Bi 0.000 0.000 0.416
Bi 0.000 0.000 0.584
Bi 0.333 0.667 0.083
Bi 0.333 0.667 0.250
Bi 0.667 0.333 0.750
Bi 0.667 0.333 0.917
Mo 0.000 0.000 0.500
Mo 0.333 0.667 0.167
Mo 0.667 0.333 0.833

***

Here is an optimized crystal structure of Ta2AsRuBr from the Alexandria database. Energies are from PBE-GGA.

Calculated total energy: -6.62 eV/atom
Formation energy from raw total energies: 1.237 eV/atom

Unit cell a=4.901 b=4.901 c=4.701 alpha=90.00 beta=90.00 gamma=90.00
Fractional positions:
Ta 0.000 0.500 0.000
Ta 0.500 0.000 0.000
As 0.000 0.000 0.500
Ru 0.500 0.500 0.000
Br 0.500 0.500 0.500